Cs2RuSe: relaxed, PBE.

Results
The value obtained for the calculated density is 3.79 g cm⁻³. The calculation puts the total energy at -0.132 Ha/atom. The raw formation energy is 0.02 eV per atom.

Cell lengths 12.971, 12.971, 4.648 Å; angles 90.00, 90.00, 90.00 degrees
Space group I-42d (No. 122)
Unique sites:
Cs: 0.076 0.250 0.125
Ru: 0.000 0.000 0.000
Se: 0.000 0.000 0.500